No. 1
Below is an optimized crystal structure of RuC2Br, with properties calculated at the GGA-PBE level.

Output
Symmetry ... No. 122
Energy above the lowest structure with this stoichiometry ... 0.0 meV/atom
E_form (uncorrected) ... 1447.9 meV per atom
Calculated volume ... 17.2 A^3/atom
D(E_F) ... 0.77 states/eV/atom
Size of the total moment ... 0.000 μB/atom

Unit cell a=5.4509 b=5.4509 c=6.0205 alpha=63.08 beta=63.08 gamma=90.00
Atoms (fractional coordinates):
C: 0.3750 0.2398 0.7500
Br: 0.2500 0.7500 0.5000
Ru: 0.7500 0.2500 0.5000
Br: 0.5000 0.5000 0.0000
C: 0.9898 0.6250 0.2500
Ru: 0.0000 0.0000 0.0000
C: 0.7602 0.1250 0.2500
C: 0.8750 0.0102 0.7500

No. 2
Below is an optimized crystal structure of KLaFe, with properties calculated at the GGA-PBE level.

Output
Symmetry ... No. 216
Energy above the lowest structure with this stoichiometry ... 398.9 meV/atom
Calculated volume ... 32.8 A^3/atom
D(E_F) ... 2.42 states/eV/atom
Size of the total moment ... 0.578 μB/atom
Formation energy from the elements ... 0.998 eV/atom

Unit cell a=7.3267 b=7.3267 c=7.3267 alpha=90.00 beta=90.00 gamma=90.00
Atoms (fractional coordinates):
Fe: 0.2500 0.2500 0.2500
K: 0.5000 0.5000 0.0000
K: 0.0000 0.0000 0.0000
La: 0.5000 0.0000 0.0000
Fe: 0.2500 0.7500 0.7500
Fe: 0.7500 0.2500 0.7500
K: 0.5000 0.0000 0.5000
Fe: 0.7500 0.7500 0.2500
La: 0.0000 0.5000 0.0000
La: 0.5000 0.5000 0.5000
K: 0.0000 0.5000 0.5000
La: 0.0000 0.0000 0.5000

No. 3
Below is an optimized crystal structure of Pa2FeReN5, with properties calculated at the GGA-PBE level.

Output
Symmetry ... No. 36
E_form (uncorrected) ... -849.1 meV per atom
Calculated volume ... 11.6 A^3/atom
D(E_F) ... 0.43 states/eV/atom
Size of the total moment ... 0.000 μB/atom

Unit cell a=3.3479 b=6.5962 c=9.7410 alpha=90.00 beta=90.00 gamma=104.70
Atoms (fractional coordinates):
Re: 0.1987 0.3974 0.0234
Re: 0.8013 0.6026 0.5234
Pa: 0.1069 0.2138 0.6866
Fe: 0.4646 0.9292 0.4521
N: 0.0478 0.0956 0.0526
N: 0.2868 0.5736 0.6539
Pa: 0.8931 0.7862 0.1866
N: 0.7132 0.4264 0.1539
N: 0.9522 0.9044 0.5526
N: 0.6309 0.2619 0.4988
Pa: 0.1450 0.2900 0.3149
Pa: 0.8550 0.7100 0.8149
N: 0.4893 0.9786 0.7675
N: 0.3214 0.6428 0.3741
Fe: 0.5354 0.0708 0.9521
N: 0.6786 0.3572 0.8741
N: 0.5107 0.0214 0.2675
N: 0.3691 0.7381 0.9988